LiMnVO4: relaxed, PBE with a Hubbard U.

Symmetry ... P4_322
Distance to the lowest polymorph of the same formula ... 60 meV per atom
Energy ... -7.15 eV/atom

Cell: 6.0881 6.0881 8.3478 Å, 90.00 90.00 90.00°
Last column: nearest neighbours and their distance in Å.
Atoms (fractional coordinates):
1 Li 0.0000 0.2516 0.0000  6 O 2.10-2.20
2 Li 0.0000 0.7484 0.5000  6 O 2.10-2.20
3 Li 0.2516 0.0000 0.2500  6 O 2.10-2.20
4 Li 0.7484 0.0000 0.7500  6 O 2.10-2.20
5 Mn 0.2528 0.2528 0.6250  4 O 2.03-2.05
6 Mn 0.2528 0.7472 0.8750  4 O 2.03-2.05
7 Mn 0.7472 0.2528 0.3750  4 O 2.03-2.05
8 Mn 0.7472 0.7472 0.1250  4 O 2.03-2.05
9 V 0.2272 0.5000 0.2500  4 O 1.78-1.90
10 V 0.5000 0.2272 0.0000  4 O 1.78-1.90
11 V 0.5000 0.7728 0.5000  4 O 1.78-1.90
12 V 0.7728 0.5000 0.7500  4 O 1.78-1.90
13 O 0.0425 0.2739 0.2585  1 V 1.78
14 O 0.0425 0.7261 0.2415  1 V 1.78
15 O 0.2726 0.4853 0.0252  2 V 1.90-2.10, 1 Mn 2.03
16 O 0.2726 0.5147 0.4748  2 V 1.90-2.10, 1 Mn 2.03
17 O 0.2739 0.0425 0.9915  1 V 1.78
18 O 0.2739 0.9575 0.5085  1 V 1.78
19 O 0.4853 0.2726 0.2248  2 V 1.90-2.10, 1 Mn 2.03
20 O 0.4853 0.7274 0.2752  2 V 1.90-2.10, 1 Mn 2.03
21 O 0.5147 0.2726 0.7752  2 V 1.90-2.10, 1 Mn 2.03
22 O 0.5147 0.7274 0.7248  2 V 1.90-2.10, 1 Mn 2.03
23 O 0.7261 0.0425 0.0085  1 V 1.78
24 O 0.7261 0.9575 0.4915  1 V 1.78
25 O 0.7274 0.4853 0.9748  2 V 1.90-2.10, 1 Mn 2.03
26 O 0.7274 0.5147 0.5252  2 V 1.90-2.10, 1 Mn 2.03
27 O 0.9575 0.2739 0.7415  1 V 1.78
28 O 0.9575 0.7261 0.7585  1 V 1.78